[1]
VASP calculation (PBE) on a geometry-optimized TlCuW2 structure.

energy relative to the elements	2.78	eV per formula unit
E above lowest polymorph	0.146	eV per atom
energy	-7.397	eV/atom
V	69.0	Å³/cell
space group	P4mm (99)

Structure (CIF):
```
data_TlCuW2
_cell_length_a 2.781
_cell_length_b 2.781
_cell_length_c 8.929
_cell_angle_alpha 90.00
_cell_angle_beta 90.00
_cell_angle_gamma 90.00
_space_group_name_H-M_alt 'P 1'
_space_group_IT_number 1
loop_
_space_group_symop_operation_xyz
'x,y,z'
loop_
_atom_site_label
_atom_site_fract_x
_atom_site_fract_y
_atom_site_fract_z
W1 0.000 0.000 0.017
W2 0.500 0.500 0.267
Cu1 0.000 0.000 0.477
Tl1 0.500 0.500 0.739
```

---

[2]
VASP calculation (PBE) on a geometry-optimized MnZnBr2 structure.

E above lowest polymorph	0.039	eV per atom
energy	-3.758	eV/atom
V	118.2	Å³/cell
space group	Pm (6)
ΔE_f (raw)	-0.31	eV per atom

Structure (CIF):
```
data_MnZnBr2
_cell_length_a 3.600
_cell_length_b 5.252
_cell_length_c 6.615
_cell_angle_alpha 70.94
_cell_angle_beta 90.00
_cell_angle_gamma 90.00
_space_group_name_H-M_alt 'P 1'
_space_group_IT_number 1
loop_
_space_group_symop_operation_xyz
'x,y,z'
loop_
_atom_site_label
_atom_site_fract_x
_atom_site_fract_y
_atom_site_fract_z
Zn1 0.500 0.762 0.691
Br1 0.500 0.310 0.339
Br2 0.000 0.997 0.892
Mn1 0.000 0.432 0.577
```

---

[3]
VASP calculation (PBE) on a geometry-optimized NaGa3Pd2 structure.

energy relative to the elements	-2.59	eV per formula unit
energy	-3.896	eV/atom
V	226.8	Å³/cell
space group	Cmcm (63)

Structure (CIF):
```
data_NaGa3Pd2
_cell_length_a 5.621
_cell_length_b 6.413
_cell_length_c 6.413
_cell_angle_alpha 101.06
_cell_angle_beta 90.00
_cell_angle_gamma 90.00
_space_group_name_H-M_alt 'P 1'
_space_group_IT_number 1
loop_
_space_group_symop_operation_xyz
'x,y,z'
loop_
_atom_site_label
_atom_site_fract_x
_atom_site_fract_y
_atom_site_fract_z
Ga1 0.250 0.548 0.900
Ga2 0.250 0.968 0.968
Ga3 0.250 0.900 0.548
Ga4 0.750 0.032 0.032
Ga5 0.750 0.452 0.100
Ga6 0.750 0.100 0.452
Pd1 0.500 0.782 0.218
Pd2 0.500 0.218 0.782
Pd3 0.000 0.782 0.218
Pd4 0.000 0.218 0.782
Na1 0.250 0.363 0.363
Na2 0.750 0.637 0.637
```

---

Repeat the third record exactly.
VASP calculation (PBE) on a geometry-optimized NaGa3Pd2 structure.

energy relative to the elements	-2.59	eV per formula unit
energy	-3.896	eV/atom
V	226.8	Å³/cell
space group	Cmcm (63)

Structure (CIF):
```
data_NaGa3Pd2
_cell_length_a 5.621
_cell_length_b 6.413
_cell_length_c 6.413
_cell_angle_alpha 101.06
_cell_angle_beta 90.00
_cell_angle_gamma 90.00
_space_group_name_H-M_alt 'P 1'
_space_group_IT_number 1
loop_
_space_group_symop_operation_xyz
'x,y,z'
loop_
_atom_site_label
_atom_site_fract_x
_atom_site_fract_y
_atom_site_fract_z
Ga1 0.250 0.548 0.900
Ga2 0.250 0.968 0.968
Ga3 0.250 0.900 0.548
Ga4 0.750 0.032 0.032
Ga5 0.750 0.452 0.100
Ga6 0.750 0.100 0.452
Pd1 0.500 0.782 0.218
Pd2 0.500 0.218 0.782
Pd3 0.000 0.782 0.218
Pd4 0.000 0.218 0.782
Na1 0.250 0.363 0.363
Na2 0.750 0.637 0.637
```

---

Which of these has the lowest energy?
TlCuW2

---

Look up the V of the first one.
69.0 Å³/cell

---

energy of number 1 (TlCuW2)?
-7.397 eV/atom